# MnAl2Cl, relaxed, DFT GGA-PBE
# VASP energy: -4.2904 eV/atom
# calculated volume: 19.049 Å³/atom
# relative energy among the computed polymorphs: 501 meV/atom
# SG: No. 122
# N(E_F): 6.05 states/eV/cell
# E_form (uncorrected): 334.9 meV/atom
data_MnAl2Cl
_symmetry_space_group_name_H-M 'P 1'
_symmetry_Int_Tables_number 1
_cell_length_a 5.897
_cell_length_b 5.897
_cell_length_c 5.897
_cell_angle_alpha 103.73
_cell_angle_beta 103.73
_cell_angle_gamma 121.70
loop_
_symmetry_equiv_pos_as_xyz
'x,y,z'
loop_
_atom_site_label
_atom_site_type_symbol
_atom_site_fract_x
_atom_site_fract_y
_atom_site_fract_z
_atom_site_occupancy
Mn1 Mn 0.000 0.000 0.000 1
Mn2 Mn 0.750 0.250 0.500 1
Al1 Al 0.113 0.625 0.988 1
Al2 Al 0.375 0.363 0.488 1
Al3 Al 0.637 0.125 0.012 1
Al4 Al 0.875 0.887 0.512 1
Cl1 Cl 0.250 0.750 0.500 1
Cl2 Cl 0.500 0.500 0.000 1

# Mn2AlCl, relaxed, DFT GGA-PBE
# VASP energy: -5.6504 eV/atom
# calculated volume: 17.265 Å³/atom
# relative energy among the computed polymorphs: 396 meV/atom
# SG: No. 122
# N(E_F): 3.24 states/eV/cell
# E_form (uncorrected): 331.7 meV/atom
data_Mn2AlCl
_symmetry_space_group_name_H-M 'P 1'
_symmetry_Int_Tables_number 1
_cell_length_a 5.691
_cell_length_b 5.691
_cell_length_c 5.691
_cell_angle_alpha 104.42
_cell_angle_beta 104.42
_cell_angle_gamma 120.13
loop_
_symmetry_equiv_pos_as_xyz
'x,y,z'
loop_
_atom_site_label
_atom_site_type_symbol
_atom_site_fract_x
_atom_site_fract_y
_atom_site_fract_z
_atom_site_occupancy
Mn1 Mn 0.106 0.125 0.481 1
Mn2 Mn 0.375 0.894 0.019 1
Mn3 Mn 0.644 0.625 0.519 1
Mn4 Mn 0.875 0.356 0.981 1
Al1 Al 0.250 0.750 0.500 1
Al2 Al 0.500 0.500 0.000 1
Cl1 Cl 0.000 0.000 0.000 1
Cl2 Cl 0.750 0.250 0.500 1

# MnAl2Cl, relaxed, DFT GGA-PBE
# VASP energy: -4.6209 eV/atom
# calculated volume: 18.812 Å³/atom
# relative energy among the computed polymorphs: 170 meV/atom
# SG: No. 35
# N(E_F): 2.05 states/eV/cell
# E_form (uncorrected): 4.4 meV/atom
data_MnAl2Cl
_symmetry_space_group_name_H-M 'P 1'
_symmetry_Int_Tables_number 1
_cell_length_a 3.006
_cell_length_b 3.006
_cell_length_c 9.298
_cell_angle_alpha 90.00
_cell_angle_beta 90.00
_cell_angle_gamma 116.38
loop_
_symmetry_equiv_pos_as_xyz
'x,y,z'
loop_
_atom_site_label
_atom_site_type_symbol
_atom_site_fract_x
_atom_site_fract_y
_atom_site_fract_z
_atom_site_occupancy
Mn1 Mn 0.000 0.000 0.000 1
Al1 Al 0.000 0.000 0.531 1
Al2 Al 0.500 0.500 0.779 1
Cl1 Cl 0.500 0.500 0.189 1

# MnAl4Cl, relaxed, DFT GGA-PBE
# VASP energy: -4.0923 eV/atom
# calculated volume: 18.429 Å³/atom
# SG: No. 216
# N(E_F): 2.94 states/eV/cell
# E_form (uncorrected): 238.8 meV/atom
data_MnAl4Cl
_symmetry_space_group_name_H-M 'P 1'
_symmetry_Int_Tables_number 1
_cell_length_a 5.388
_cell_length_b 5.388
_cell_length_c 5.388
_cell_angle_alpha 60.00
_cell_angle_beta 60.00
_cell_angle_gamma 60.00
loop_
_symmetry_equiv_pos_as_xyz
'x,y,z'
loop_
_atom_site_label
_atom_site_type_symbol
_atom_site_fract_x
_atom_site_fract_y
_atom_site_fract_z
_atom_site_occupancy
Mn1 Mn 0.000 0.000 0.000 1
Al1 Al 0.122 0.626 0.626 1
Al2 Al 0.626 0.122 0.626 1
Al3 Al 0.626 0.626 0.122 1
Al4 Al 0.626 0.626 0.626 1
Cl1 Cl 0.250 0.250 0.250 1

# MnAl2Cl, relaxed, DFT GGA-PBE
# VASP energy: -4.5588 eV/atom
# calculated volume: 18.222 Å³/atom
# relative energy among the computed polymorphs: 232 meV/atom
# SG: No. 25
# N(E_F): 1.50 states/eV/cell
# E_form (uncorrected): 66.5 meV/atom
data_MnAl2Cl
_symmetry_space_group_name_H-M 'P 1'
_symmetry_Int_Tables_number 1
_cell_length_a 3.007
_cell_length_b 5.170
_cell_length_c 4.688
_cell_angle_alpha 90.00
_cell_angle_beta 90.00
_cell_angle_gamma 90.00
loop_
_symmetry_equiv_pos_as_xyz
'x,y,z'
loop_
_atom_site_label
_atom_site_type_symbol
_atom_site_fract_x
_atom_site_fract_y
_atom_site_fract_z
_atom_site_occupancy
Mn1 Mn 0.000 0.000 0.000 1
Al1 Al 0.500 0.000 0.511 1
Al2 Al 0.500 0.500 0.762 1
Cl1 Cl 0.000 0.500 0.169 1

# MnAl2Cl, relaxed, DFT GGA-PBE
# VASP energy: -4.6070 eV/atom
# calculated volume: 16.846 Å³/atom
# relative energy among the computed polymorphs: 184 meV/atom
# SG: No. 12
# N(E_F): 1.99 states/eV/cell
# E_form (uncorrected): 18.4 meV/atom
data_MnAl2Cl
_symmetry_space_group_name_H-M 'P 1'
_symmetry_Int_Tables_number 1
_cell_length_a 4.871
_cell_length_b 4.871
_cell_length_c 2.841
_cell_angle_alpha 90.08
_cell_angle_beta 90.08
_cell_angle_gamma 91.83
loop_
_symmetry_equiv_pos_as_xyz
'x,y,z'
loop_
_atom_site_label
_atom_site_type_symbol
_atom_site_fract_x
_atom_site_fract_y
_atom_site_fract_z
_atom_site_occupancy
Mn1 Mn 0.000 0.000 0.000 1
Al1 Al 0.000 0.500 0.500 1
Al2 Al 0.500 0.000 0.500 1
Cl1 Cl 0.500 0.500 0.000 1